Crystalline Na3CoO at its relaxed geometry, computed with PBE with a Hubbard U.

abc: 4.6827 4.6827 4.6827
angles: 90.00 90.00 90.00
Site moments in Bohr magnetons follow the coordinates.
Positions (direct):
Na: 0.0000 0.5000 0.0000  -0.01
Na: 0.0000 0.0000 0.5000  -0.01
Na: 0.5000 0.0000 0.0000  0.00
Co: 0.5000 0.5000 0.5000  2.31
O: 0.0000 0.0000 0.0000  0.02

Calculated total energy (eV per atom): -2.93
V (Å³ per atom): 20.54
Energy above the most stable polymorph in this dataset (eV/f.u.): 0.00
Spin magnetization (μB per formula unit): 2.229